# 1
Here is a relaxed GaHgO3 crystal from the Alexandria database. Energies are from GGA-PBE.

POSCAR file:
```
GaHgO3
1.0
-2.982 0.669 -2.371
-1.436 -3.498 0.819
-2.003 1.511 2.945
O Ga Hg
3 1 1
Direct
0.000 0.500 0.000
0.500 0.000 0.000
0.000 0.000 0.500
0.000 0.000 0.000
0.500 0.500 0.500
```

Output
The value obtained for the formation energy from raw total energies is -0.57 eV/atom. Its density of states at the Fermi level is 0.557 states/eV/atom. For the total energy, the calculation gives -4.21 eV per atom. The calculated volume comes out at 57.9 Å³/cell.



# 2
Here is a relaxed GaHgO2 crystal from the Alexandria database. Energies are from GGA-PBE.

POSCAR file:
```
GaHgO2
1.0
2.045 0.000 6.090
-1.023 1.771 6.090
-1.023 -1.771 6.090
O Hg Ga
2 1 1
Direct
0.098 0.098 0.098
0.902 0.902 0.902
0.500 0.500 0.500
0.000 0.000 0.000
```

Output
The value obtained for the formation energy from raw total energies is -0.44 eV/atom. For the relative energy among the computed polymorphs, the calculation gives 15.29 kcal/mol of atoms. Its density of states at the Fermi level is 0.464 states/eV/atom. For the total energy, the calculation gives -3.76 eV per atom. The calculated volume comes out at 66.2 Å³/cell.



# 3
Here is a relaxed GaHg2O crystal from the Alexandria database. Energies are from GGA-PBE.

POSCAR file:
```
GaHg2O
1.0
0.000 3.358 3.358
3.358 0.000 3.358
3.358 3.358 0.000
Ga O Hg
1 1 2
Direct
0.500 0.500 0.500
0.000 0.000 0.000
0.250 0.250 0.250
0.750 0.750 0.750
```

Output
The value obtained for the formation energy from raw total energies is 0.25 eV/atom. For the relative energy among the computed polymorphs, the calculation gives 6.23 kcal/mol of atoms. Its density of states at the Fermi level is 0.586 states/eV/atom. For the total energy, the calculation gives -1.90 eV per atom. The calculated volume comes out at 75.7 Å³/cell.



# 4
Here is a relaxed GaHgO3 crystal from the Alexandria database. Energies are from GGA-PBE.

POSCAR file:
```
GaHgO3
1.0
-3.382 2.166 0.949
0.541 -0.903 3.990
2.302 3.395 0.456
O Ga Hg
3 1 1
Direct
0.000 0.000 0.500
0.000 0.500 0.000
0.500 0.000 0.000
0.500 0.500 0.500
0.000 0.000 0.000
```

Output
The value obtained for the formation energy from raw total energies is 0.36 eV/atom. Its density of states at the Fermi level is 0.531 states/eV/atom. For the total energy, the calculation gives -3.28 eV per atom. The calculated volume comes out at 70.3 Å³/cell.



# 5
Here is a relaxed GaHg2O crystal from the Alexandria database. Energies are from GGA-PBE.

POSCAR file:
```
GaHg2O
1.0
-5.737 -0.052 -2.779
1.224 -5.770 -2.420
-3.976 -4.780 0.986
Ga Hg O
2 4 2
Direct
0.750 0.250 0.500
0.000 0.000 0.000
0.375 0.421 0.750
0.579 0.125 0.250
0.875 0.829 0.750
0.171 0.625 0.250
0.500 0.500 0.000
0.250 0.750 0.500
```

Output
The value obtained for the formation energy from raw total energies is -0.02 eV/atom. For the relative energy among the computed polymorphs, the calculation gives 0.00 kcal/mol of atoms. Its density of states at the Fermi level is 0.293 states/eV/atom. For the total energy, the calculation gives -2.17 eV per atom. The calculated volume comes out at 178.6 Å³/cell.



# 6
Here is a relaxed GaHg3O4 crystal from the Alexandria database. Energies are from GGA-PBE.

POSCAR file:
```
GaHg3O4
1.0
5.930 0.000 0.000
0.000 6.321 0.000
0.000 0.000 7.200
O Hg Ga
8 6 2
Direct
0.606 0.685 0.284
0.606 0.685 0.716
0.183 0.824 0.500
0.106 0.315 0.784
0.683 0.176 0.000
0.106 0.315 0.216
0.611 0.106 0.500
0.111 0.894 0.000
0.005 0.160 0.500
0.002 0.670 0.245
0.505 0.840 0.000
0.002 0.670 0.755
0.502 0.330 0.745
0.502 0.330 0.255
0.501 0.826 0.500
0.001 0.174 0.000
```

Output
The value obtained for the formation energy from raw total energies is -0.68 eV/atom. Its density of states at the Fermi level is 0.165 states/eV/atom. For the total energy, the calculation gives -3.65 eV per atom. The calculated volume comes out at 269.9 Å³/cell.